VASP calculation (PBE) on Pm3S4 after structural relaxation.

Summary:
ΔE_f (raw) (eV per atom): -1.99
Magnetization (μB per atom): 0.00
Energy above the lowest structure with this stoichiometry (meV per atom): 28
VASP energy (eV/atom): -6.389

Cell: 7.6103 7.6103 7.1306 Å, 115.13 115.13 31.03°
Last column: nearest neighbours and their distance in Å.
Sites, in units of the cell vectors:
Pm (0.0000, 0.0000, 0.0000)  6 S 2.82-2.88
Pm (0.2764, 0.2764, 0.2815)  6 S 2.78-2.91
Pm (0.7236, 0.7236, 0.7185)  6 S 2.78-2.91
S (0.1256, 0.1256, 0.4350)  4 Pm 2.78-2.87
S (0.3592, 0.3592, 0.9893)  5 Pm 2.84-2.91
S (0.6408, 0.6408, 0.0107)  5 Pm 2.84-2.91
S (0.8744, 0.8744, 0.5650)  4 Pm 2.78-2.87